The following is a PBE calculation of an optimized crystal structure of K3CaN, from the Alexandria database.

Structure (POSCAR):
```
K3CaN
1.0
-5.028 -5.353 0.036
4.934 -4.615 2.881
-2.077 1.997 6.755
Ca K N
1 3 1
direct
0.000 0.000 0.000
0.000 0.000 0.500
0.500 0.000 0.000
0.000 0.500 0.000
0.500 0.500 0.500
```

space group: No. 221
E above lowest polymorph: 5.17 eV per formula unit
crystal system: cubic
formation energy without anion corrections: 1644 meV per atom

The following is a PBE calculation of an optimized crystal structure of KCa2N, from the Alexandria database.

Structure (POSCAR):
```
KCa2N
1.0
-5.833 -2.624 -3.933
-0.747 -5.656 4.882
-6.596 -1.179 3.400
Ca N K
4 2 2
direct
0.377 0.125 0.250
0.373 0.625 0.250
0.375 0.623 0.750
0.875 0.627 0.750
0.500 0.500 0.000
0.250 0.750 0.500
0.750 0.250 0.500
0.000 0.000 0.000
```

space group: No. 122
crystal system: tetragonal
formation energy without anion corrections: -317 meV per atom

The following is a PBE calculation of an optimized crystal structure of KCa2N, from the Alexandria database.

Structure (POSCAR):
```
KCa2N
1.0
-1.247 -3.359 0.919
1.451 -3.010 -1.586
7.369 -2.705 7.561
Ca K N
2 1 1
direct
0.128 0.128 0.616
0.872 0.872 0.384
0.000 0.000 0.000
0.500 0.500 0.500
```

space group: No. 166
crystal system: trigonal
formation energy without anion corrections: -451 meV per atom

The following is a PBE calculation of an optimized crystal structure of K2CaN, from the Alexandria database.

Structure (POSCAR):
```
K2CaN
1.0
-2.939 -10.937 3.096
3.930 2.022 10.876
-1.582 -3.725 7.600
N K Ca
2 4 2
direct
0.250 0.750 0.500
0.500 0.500 0.000
0.442 0.125 0.250
0.375 0.558 0.750
0.308 0.625 0.250
0.875 0.692 0.750
0.750 0.250 0.500
0.000 0.000 0.000
```

space group: No. 122
crystal system: tetragonal
formation energy without anion corrections: 161 meV per atom

The following is a PBE calculation of an optimized crystal structure of KCaN3, from the Alexandria database.

Structure (POSCAR):
```
KCaN3
1.0
-1.354 -3.722 -2.441
2.116 -2.783 3.070
-3.916 -0.217 2.503
N Ca K
3 1 1
direct
0.500 0.000 0.000
0.000 0.000 0.500
0.000 0.500 0.000
0.500 0.500 0.500
0.000 0.000 0.000
```

space group: No. 221
crystal system: cubic
formation energy without anion corrections: 2078 meV per atom

The following is a PBE calculation of an optimized crystal structure of KCaN2O, from the Alexandria database.

Structure (POSCAR):
```
KCaN2O
1.0
4.846 0.000 0.000
0.000 4.846 0.000
0.000 0.000 4.458
K O N Ca
1 1 2 1
direct
0.500 0.500 0.500
0.000 0.000 0.500
0.000 0.500 0.000
0.500 0.000 0.000
0.000 0.000 0.000
```

space group: No. 123
crystal system: tetragonal
formation energy without anion corrections: 528 meV per atom

The following is a PBE calculation of an optimized crystal structure of KCaN2O, from the Alexandria database.

Structure (POSCAR):
```
KCaN2O
1.0
-4.110 -2.275 -0.816
2.027 -2.366 -3.610
1.259 -3.306 2.874
K N Ca O
1 2 1 1
direct
0.000 0.000 0.000
0.000 0.500 0.000
0.500 0.000 0.000
0.500 0.500 0.500
0.000 0.000 0.500
```

space group: No. 123
crystal system: tetragonal
formation energy without anion corrections: 1265 meV per atom

The following is a PBE calculation of an optimized crystal structure of KCaOsN2, from the Alexandria database.

Structure (POSCAR):
```
KCaOsN2
1.0
-3.485 -1.036 -3.115
3.809 -2.355 -3.478
-0.659 -4.230 2.143
N K Ca Os
2 1 1 1
direct
0.000 0.000 0.500
0.500 0.000 0.000
0.000 0.000 0.000
0.500 0.500 0.500
0.000 0.500 0.000
```

space group: No. 123
crystal system: tetragonal
formation energy without anion corrections: 2653 meV per atom

The following is a PBE calculation of an optimized crystal structure of KCa3Pa2N6, from the Alexandria database.

Structure (POSCAR):
```
KCa3Pa2N6
1.0
3.630 0.000 0.000
0.000 7.190 0.373
-1.815 -1.952 7.386
Ca N K Pa
3 6 1 2
direct
0.834 0.161 0.669
0.166 0.839 0.331
0.500 0.500 0.000
0.322 0.874 0.643
0.030 0.299 0.061
0.318 0.424 0.636
0.678 0.126 0.357
0.682 0.576 0.364
0.970 0.701 0.939
0.500 0.000 0.000
0.167 0.328 0.335
0.833 0.672 0.665
```

space group: No. 12
crystal system: monoclinic
formation energy without anion corrections: -1093 meV per atom

The following is a PBE calculation of an optimized crystal structure of KCaPa4N8, from the Alexandria database.

Structure (POSCAR):
```
KCaPa4N8
1.0
-1.749 -0.930 6.838
-5.801 -3.756 1.712
0.566 -6.254 3.000
N K Ca Pa
8 1 1 4
direct
0.729 0.241 0.302
0.729 0.729 0.302
0.804 0.258 0.679
0.241 0.729 0.302
0.753 0.753 0.740
0.258 0.258 0.679
0.258 0.804 0.679
0.233 0.233 0.300
0.997 0.997 0.010
0.386 0.386 0.843
0.003 0.491 0.503
0.003 0.003 0.503
0.491 0.003 0.503
0.615 0.615 0.155
```

space group: No. 160
crystal system: trigonal
formation energy without anion corrections: -1168 meV per atom

The following is a PBE calculation of an optimized crystal structure of KCaRe2N, from the Alexandria database.

Structure (POSCAR):
```
KCaRe2N
1.0
4.833 0.000 0.000
0.000 4.766 0.000
0.000 0.000 4.833
Ca Re N K
1 2 1 1
direct
0.500 0.500 0.500
0.500 0.000 0.000
0.000 0.000 0.500
0.000 0.500 0.000
0.000 0.000 0.000
```

space group: No. 123
crystal system: tetragonal
formation energy without anion corrections: 3358 meV per atom

The following is a PBE calculation of an optimized crystal structure of K2CaRe2N6, from the Alexandria database.

Structure (POSCAR):
```
K2CaRe2N6
1.0
-1.540 4.354 -4.447
-0.065 -6.232 -1.457
-5.368 2.728 4.530
Re N K Ca
2 6 2 1
direct
0.956 0.912 0.793
0.044 0.088 0.207
0.238 0.476 0.358
0.262 0.057 0.756
0.795 0.057 0.756
0.205 0.943 0.244
0.762 0.524 0.642
0.738 0.943 0.244
0.288 0.576 0.808
0.712 0.424 0.192
0.500 0.000 0.500
```

space group: No. 12
crystal system: monoclinic
formation energy without anion corrections: -106 meV per atom

The following is a PBE calculation of an optimized crystal structure of KCa2ReN4, from the Alexandria database.

Structure (POSCAR):
```
KCa2ReN4
1.0
5.836 0.000 0.000
0.000 6.073 0.000
0.000 0.000 8.212
N Ca K Re
8 4 2 2
direct
0.458 0.102 0.500
0.884 0.324 0.815
0.316 0.245 0.000
0.958 0.898 0.000
0.816 0.755 0.500
0.384 0.676 0.685
0.884 0.324 0.185
0.384 0.676 0.315
0.489 0.310 0.254
0.989 0.690 0.754
0.489 0.310 0.746
0.989 0.690 0.246
0.974 0.186 0.500
0.474 0.814 0.000
0.005 0.198 0.000
0.505 0.802 0.500
```

space group: No. 31
crystal system: orthorhombic
formation energy without anion corrections: -748 meV per atom

The following is a PBE calculation of an optimized crystal structure of KCaS2N, from the Alexandria database.

Structure (POSCAR):
```
KCaS2N
1.0
-4.517 -1.305 2.883
3.159 -2.150 3.977
0.158 4.226 2.160
K N S Ca
1 1 2 1
direct
0.000 0.000 0.000
0.000 0.000 0.500
0.000 0.500 0.000
0.500 0.000 0.000
0.500 0.500 0.500
```

space group: No. 123
E above lowest polymorph: 3.20 eV per formula unit
crystal system: tetragonal
formation energy without anion corrections: 697 meV per atom

The following is a PBE calculation of an optimized crystal structure of KCaS2N, from the Alexandria database.

Structure (POSCAR):
```
KCaS2N
1.0
-3.259 -1.817 -3.951
3.143 -4.396 -0.571
-2.683 -2.346 3.293
S Ca N K
2 1 1 1
direct
0.000 0.500 0.000
0.500 0.000 0.000
0.000 0.000 0.000
0.000 0.000 0.500
0.500 0.500 0.500
```

space group: No. 123
E above lowest polymorph: 0.00 eV per formula unit
crystal system: tetragonal
formation energy without anion corrections: 56 meV per atom

The following is a PBE calculation of an optimized crystal structure of KCaSeN2, from the Alexandria database.

Structure (POSCAR):
```
KCaSeN2
1.0
4.879 0.000 0.000
0.000 4.879 0.000
0.000 0.000 5.751
N K Ca Se
2 1 1 1
direct
0.000 0.500 0.000
0.500 0.000 0.000
0.500 0.500 0.500
0.000 0.000 0.000
0.000 0.000 0.500
```

space group: No. 123
E above lowest polymorph: 0.00 eV per formula unit
crystal system: tetragonal
formation energy without anion corrections: 686 meV per atom

The following is a PBE calculation of an optimized crystal structure of KCaSeN2, from the Alexandria database.

Structure (POSCAR):
```
KCaSeN2
1.0
4.773 0.000 0.000
0.000 4.773 0.000
0.000 0.000 6.135
Ca N K Se
1 2 1 1
direct
0.500 0.500 0.500
0.500 0.000 0.000
0.000 0.500 0.000
0.000 0.000 0.000
0.000 0.000 0.500
```

space group: No. 123
E above lowest polymorph: 2.75 eV per formula unit
crystal system: tetragonal
formation energy without anion corrections: 1236 meV per atom

The following is a PBE calculation of an optimized crystal structure of KCaSe2N, from the Alexandria database.

Structure (POSCAR):
```
KCaSe2N
1.0
5.662 0.000 0.000
0.000 5.662 0.000
0.000 0.000 4.839
Se Ca K N
2 1 1 1
direct
0.000 0.500 0.000
0.500 0.000 0.000
0.000 0.000 0.000
0.500 0.500 0.500
0.000 0.000 0.500
```

space group: No. 123
E above lowest polymorph: 0.00 eV per formula unit
crystal system: tetragonal
formation energy without anion corrections: 6 meV per atom

The following is a PBE calculation of an optimized crystal structure of KCaSe2N, from the Alexandria database.

Structure (POSCAR):
```
KCaSe2N
1.0
-2.875 4.862 -0.961
-2.106 -0.395 4.301
4.272 2.994 2.367
N Ca Se K
1 1 2 1
direct
0.000 0.500 0.000
0.500 0.500 0.500
0.500 0.000 0.000
0.000 0.000 0.500
0.000 0.000 0.000
```

space group: No. 123
E above lowest polymorph: 3.03 eV per formula unit
crystal system: tetragonal
formation energy without anion corrections: 613 meV per atom

The following is a PBE calculation of an optimized crystal structure of KCaTcN3, from the Alexandria database.

Structure (POSCAR):
```
KCaTcN3
1.0
-0.077 -3.277 -1.139
2.944 -0.241 5.784
-10.809 0.307 -0.155
N Tc Ca K
6 2 2 2
direct
0.577 0.154 0.412
0.875 0.750 0.214
0.114 0.228 0.206
0.886 0.772 0.794
0.125 0.250 0.786
0.423 0.846 0.588
0.041 0.083 0.311
0.959 0.917 0.689
0.661 0.321 0.656
0.339 0.679 0.344
0.626 0.251 0.005
0.374 0.749 0.995
```

space group: No. 12
crystal system: monoclinic
formation energy without anion corrections: -373 meV per atom

The following is a PBE calculation of an optimized crystal structure of KCa2WN4, from the Alexandria database.

Structure (POSCAR):
```
KCa2WN4
1.0
5.938 0.000 0.000
0.000 6.245 0.000
0.000 0.000 8.132
N W K Ca
8 2 2 4
direct
0.953 0.898 0.000
0.381 0.669 0.312
0.317 0.236 0.000
0.817 0.764 0.500
0.453 0.102 0.500
0.881 0.331 0.812
0.381 0.669 0.688
0.881 0.331 0.188
0.504 0.802 0.500
0.004 0.198 0.000
0.479 0.819 0.000
0.979 0.181 0.500
0.492 0.313 0.254
0.992 0.687 0.246
0.492 0.313 0.746
0.992 0.687 0.754
```

space group: No. 31
crystal system: orthorhombic
formation energy without anion corrections: -676 meV per atom

The following is a PBE calculation of an optimized crystal structure of K2CaWN, from the Alexandria database.

Structure (POSCAR):
```
K2CaWN
1.0
-6.257 1.078 0.773
-0.724 -5.897 2.368
0.992 1.988 5.254
K W N Ca
2 1 1 1
direct
0.500 0.000 0.000
0.000 0.500 0.000
0.000 0.000 0.000
0.500 0.500 0.500
0.000 0.000 0.500
```

space group: No. 123
crystal system: tetragonal
formation energy without anion corrections: 2327 meV per atom

The following is a PBE calculation of an optimized crystal structure of K2Na6Ca, from the Alexandria database.

Structure (POSCAR):
```
K2Na6Ca
1.0
3.999 0.000 0.001
0.000 9.313 5.356
-0.002 0.019 10.743
Na K Ca
6 2 1
direct
0.500 0.320 0.680
0.499 0.680 0.000
0.501 0.000 0.320
0.500 0.680 0.320
0.501 0.320 0.000
0.499 0.000 0.680
0.000 0.333 0.333
0.000 0.667 0.667
0.000 0.000 0.000
```

formation energy: 0.049 eV per atom
space group: No. 12
crystal system: monoclinic

The following is a PBE calculation of an optimized crystal structure of KNaCa2, from the Alexandria database.

Structure (POSCAR):
```
KNaCa2
1.0
6.247 0.000 0.000
0.000 5.454 0.000
0.000 0.000 5.454
Ca Na K
2 1 1
direct
0.000 0.500 0.000
0.000 0.000 0.500
0.500 0.000 0.000
0.500 0.500 0.500
```

formation energy: 0.159 eV per atom
space group: No. 123
crystal system: tetragonal

The following is a PBE calculation of an optimized crystal structure of K2NaCa, from the Alexandria database.

Structure (POSCAR):
```
K2NaCa
1.0
-5.075 5.737 7.440
2.518 -7.316 7.359
2.022 1.126 8.174
Ca Na K
2 2 4
direct
0.000 0.000 0.000
0.750 0.250 0.500
0.500 0.500 0.000
0.250 0.750 0.500
0.875 0.843 0.750
0.157 0.625 0.250
0.593 0.125 0.250
0.375 0.407 0.750
```

formation energy: 0.229 eV per atom
space group: No. 122
crystal system: tetragonal

The records above yield magnetization values of 0.00; 0.00; 0.00; 0.00; 6.00; 5.00; 5.00; 7.00; 0.00; 0.00; 3.29; 2.00; 0.00; 4.01; 3.98; 5.02; 5.00; 3.64; 3.96; 0.00; 2.03; 4.37; 0.00; 0.00; 0.00 Bohr magnetons per cell, respectively.
The records above yield E values of -1.080; -3.673; -3.807; -2.969; -3.537; -4.413; -3.677; -3.543; -7.430; -8.860; -3.906; -7.292; -7.104; -3.239; -3.880; -3.961; -3.411; -3.673; -3.066; -6.780; -7.095; -2.768; -1.297; -1.446; -1.150 eV per atom, respectively.
The records above yield DOS at the Fermi energy values of 1.222; 0.474; 0.634; 0.742; 0.317; 0.616; 0.362; 0.866; 0.626; 0.375; 1.445; 0.111; 0.000; 0.499; 0.810; 0.850; 0.372; 0.902; 0.625; 0.325; 0.640; 1.654; 0.650; 1.048; 0.971 states/eV/atom, respectively.